# NiTe6W | the Alexandria database | PBE | relaxed
data_NiTe6W
_cell_length_a 6.4804
_cell_length_b 6.6134
_cell_length_c 6.6450
_cell_angle_alpha 88.61
_cell_angle_beta 61.58
_cell_angle_gamma 61.75
_space_group_name_H-M_alt 'P 1'
_space_group_IT_number 1
_space_group_name_Hall 'P 1'
loop_
_atom_site_label
_atom_site_type_symbol
_atom_site_fract_x
_atom_site_fract_y
_atom_site_fract_z
Ni1 Ni 0.0000 0.0000 0.0000
Te1 Te 0.1380 0.8000 0.5830
Te2 Te 0.1695 0.2777 0.7831
Te3 Te 0.4967 0.2808 0.0860
Te4 Te 0.5033 0.7192 0.9140
Te5 Te 0.8305 0.7223 0.2169
Te6 Te 0.8620 0.2000 0.4170
W1 W 0.0000 0.5000 0.5000
# - Density of states at the Fermi level: 5.315 states/eV per cell
# - Formation energy from raw total energies: 0.052 eV per atom